Entry 1:
# CdSi2Se

CdSi2Se after structural relaxation (PBE, Alexandria via LeMat-Bulk).

a b c (Å): 2.8778 2.8778 10.1015
angles (deg): 90.00 90.00 115.66
Closest atoms and distances in Å follow each position.
Element x y z (fractional)
Cd: 0.0000 0.0000 0.0000  6 Cd 2.88-3.06, 4 Si 3.09
Si: 0.5000 0.5000 0.2654  2 Se 2.82, 6 Si 2.88-3.06, 2 Cd 3.09
Si: 0.5000 0.5000 0.7346  2 Se 2.82, 6 Si 2.88-3.06, 2 Cd 3.09
Se: 0.0000 0.0000 0.5000  4 Si 2.82, 6 Se 2.88-3.06

## Properties
- formation energy without anion corrections (eV per atom) = 0.530
- V (Å³/cell) = 75.4
- theoretical density (g cm⁻³) = 5.451
- N(E_F) (states/eV per cell) = 0.7
- total DFT energy (no corrections) (eV per cell) = -13.1
- space group = No. 65

Entry 2:
# BaNaV3

BaNaV3 after structural relaxation (PBE, Alexandria via LeMat-Bulk).

a b c (Å): 4.8967 4.8967 4.8967
angles (deg): 90.00 90.00 90.00
Closest atoms and distances in Å follow each position.
Element x y z (fractional)
Ba: 0.0000 0.0000 0.0000  6 V 2.45
Na: 0.5000 0.5000 0.5000  12 V 3.46
V: 0.0000 0.0000 0.5000  2 Ba 2.45
V: 0.0000 0.5000 0.0000  2 Ba 2.45
V: 0.5000 0.0000 0.0000  2 Ba 2.45

## Properties
- V (Å³/cell) = 117.4
- theoretical density (g cm⁻³) = 4.429
- N(E_F) (states/eV per cell) = 4.6
- ΔH_f (0 K) (eV per atom) = 2.33
- total DFT energy (no corrections) (eV per cell) = -19.0
- space group = No. 221

Entry 3:
# BiAs2Os

BiAs2Os after structural relaxation (PBE, Alexandria via LeMat-Bulk).

a b c (Å): 4.7941 4.7941 4.7941
angles (deg): 60.00 60.00 60.00
Closest atoms and distances in Å follow each position.
Element x y z (fractional)
Bi: 0.0000 0.0000 0.0000  4 Os 2.94, 4 As 2.94
As: 0.2500 0.2500 0.2500  4 As 2.94, 4 Bi 2.94
As: 0.5000 0.5000 0.5000  4 Os 2.94, 4 As 2.94
Os: 0.7500 0.7500 0.7500  4 As 2.94, 4 Bi 2.94

## Properties
- V (Å³/cell) = 77.9
- theoretical density (g cm⁻³) = 11.702
- N(E_F) (states/eV per cell) = 3.6
- ΔH_f (0 K) (eV per atom) = 0.81
- total DFT energy (no corrections) (eV per cell) = -21.2
- space group = No. 216

Entry 4:
# YMg14Bi

YMg14Bi after structural relaxation (PBE, Alexandria via LeMat-Bulk).

a b c (Å): 6.5631 6.5631 10.3676
angles (deg): 90.00 90.00 120.00
Closest atoms and distances in Å follow each position.
Element x y z (fractional)
Y: 0.0000 0.0000 0.0000  12 Mg 3.24-3.28
Mg: 0.0112 0.5056 0.0000  10 Mg 3.17-3.39, 2 Y 3.28
Mg: 0.1692 0.3384 0.2516  10 Mg 3.20-3.33, 1 Bi 3.21, 1 Y 3.24
Mg: 0.1692 0.3384 0.7484  10 Mg 3.20-3.33, 1 Bi 3.21, 1 Y 3.24
Mg: 0.1692 0.8308 0.2516  10 Mg 3.20-3.33, 1 Bi 3.21, 1 Y 3.24
Mg: 0.1692 0.8308 0.7484  10 Mg 3.20-3.33, 1 Bi 3.21, 1 Y 3.24
Mg: 0.4944 0.5056 0.0000  10 Mg 3.17-3.39, 2 Y 3.28
Mg: 0.4944 0.9888 0.0000  10 Mg 3.17-3.39, 2 Y 3.28
Mg: 0.5028 0.0056 0.5000  10 Mg 3.20-3.34, 2 Bi 3.28
Mg: 0.5028 0.4972 0.5000  10 Mg 3.20-3.34, 2 Bi 3.28
Mg: 0.6616 0.8308 0.2516  10 Mg 3.20-3.33, 1 Bi 3.21, 1 Y 3.24
Mg: 0.6616 0.8308 0.7484  10 Mg 3.20-3.33, 1 Bi 3.21, 1 Y 3.24
Mg: 0.6667 0.3333 0.2427  12 Mg 3.19-3.28
Mg: 0.6667 0.3333 0.7573  12 Mg 3.19-3.28
Mg: 0.9944 0.4972 0.5000  10 Mg 3.20-3.34, 2 Bi 3.28
Bi: 0.0000 0.0000 0.5000  12 Mg 3.21-3.28

## Properties
- V (Å³/cell) = 386.7
- theoretical density (g cm⁻³) = 2.740
- N(E_F) (states/eV per cell) = 8.0
- ΔH_f (0 K) (eV per atom) = -0.03
- total DFT energy (no corrections) (eV per cell) = -33.2
- space group = No. 187

Entry 5:
# SbI2Br

SbI2Br after structural relaxation (PBE, Alexandria via LeMat-Bulk).

a b c (Å): 7.5855 7.2218 12.5448
angles (deg): 90.00 90.00 90.00
Closest atoms and distances in Å follow each position.
Element x y z (fractional)
Sb: 0.2500 0.0000 0.0911  2 Br 2.89, 4 I 3.02-3.06
Sb: 0.2500 0.5000 0.4089  2 Br 2.89, 4 I 3.02-3.06
Sb: 0.7500 0.0000 0.9089  2 Br 2.89, 4 I 3.02-3.06
Sb: 0.7500 0.5000 0.5911  2 Br 2.89, 4 I 3.02-3.06
I: 0.0838 0.2365 0.9201  2 Sb 3.02-3.06
I: 0.0838 0.2635 0.5799  2 Sb 3.02-3.06
I: 0.4162 0.7365 0.5799  2 Sb 3.02-3.06
I: 0.4162 0.7635 0.9201  2 Sb 3.02-3.06
I: 0.5838 0.2365 0.0799  2 Sb 3.02-3.06
I: 0.5838 0.2635 0.4201  2 Sb 3.02-3.06
I: 0.9162 0.7365 0.4201  2 Sb 3.02-3.06
I: 0.9162 0.7635 0.0799  2 Sb 3.02-3.06
Br: 0.1100 0.2500 0.2500  2 Sb 2.89
Br: 0.3900 0.7500 0.2500  2 Sb 2.89
Br: 0.6100 0.2500 0.7500  2 Sb 2.89
Br: 0.8900 0.7500 0.7500  2 Sb 2.89

## Properties
- formation energy without anion corrections (eV per atom) = -0.403
- V (Å³/cell) = 687.2
- theoretical density (g cm⁻³) = 4.402
- N(E_F) (states/eV per cell) = 0.0
- total DFT energy (no corrections) (eV per cell) = -42.0
- space group = No. 52

Entry 6:
# Ag3Pb5Cl16

Ag3Pb5Cl16 after structural relaxation (PBE, Alexandria via LeMat-Bulk).

a b c (Å): 8.2915 8.2915 13.1196
angles (deg): 90.56 90.56 60.63
Closest atoms and distances in Å follow each position.
Element x y z (fractional)
Ag: 0.0000 0.0000 0.0000  4 Cl 2.55-2.76
Ag: 0.1699 0.6499 0.4952  5 Cl 2.53-2.82
Ag: 0.6499 0.1699 0.4952  5 Cl 2.53-2.82
Pb: 0.0006 0.5059 0.9970  6 Cl 2.80-3.05
Pb: 0.1620 0.1620 0.2713  6 Cl 2.57-2.74
Pb: 0.4879 0.4879 0.7557  5 Cl 2.73-2.90
Pb: 0.5059 0.0006 0.9970  6 Cl 2.80-3.05
Pb: 0.6537 0.6537 0.4906  6 Cl 2.78-3.11
Cl: 0.0145 0.0145 0.3805  1 Pb 2.57
Cl: 0.0297 0.4747 0.3768  1 Pb 2.65, 1 Ag 2.73
Cl: 0.1479 0.1479 0.8931  1 Ag 2.55
Cl: 0.1735 0.6716 0.8916  1 Ag 2.76, 2 Pb 2.80-2.90
Cl: 0.3128 0.8728 0.1470  1 Pb 2.64
Cl: 0.3144 0.3144 0.1463  3 Pb 2.74-3.01
Cl: 0.3391 0.3391 0.6236  1 Pb 2.73, 2 Ag 2.82
Cl: 0.3442 0.7977 0.6159  2 Pb 2.78-2.90, 1 Ag 2.78
Cl: 0.4747 0.0297 0.3768  1 Pb 2.65, 1 Ag 2.73
Cl: 0.4770 0.4770 0.3917  2 Ag 2.61, 1 Pb 2.83
Cl: 0.6716 0.1735 0.8916  1 Ag 2.76, 2 Pb 2.80-2.90
Cl: 0.6737 0.6737 0.8762  3 Pb 2.84-3.08
Cl: 0.7977 0.3442 0.6159  2 Pb 2.78-2.90, 1 Ag 2.78
Cl: 0.8524 0.8524 0.5693  2 Ag 2.53
Cl: 0.8536 0.8536 0.1098  1 Ag 2.56
Cl: 0.8728 0.3128 0.1470  1 Pb 2.64

## Properties
- formation energy without anion corrections (eV per atom) = -0.806
- V (Å³/cell) = 786.0
- theoretical density (g cm⁻³) = 4.071
- N(E_F) (states/eV per cell) = 13.1
- total DFT energy (no corrections) (eV per cell) = -76.0
- space group = No. 8

Entry 7:
# GdDySnRu

GdDySnRu after structural relaxation (PBE, Alexandria via LeMat-Bulk).

a b c (Å): 5.0939 5.0939 5.0939
angles (deg): 60.00 60.00 60.00
Closest atoms and distances in Å follow each position.
Element x y z (fractional)
Gd: 0.0000 0.0000 0.0000  4 Sn 3.12, 4 Ru 3.12
Dy: 0.5000 0.5000 0.5000  4 Sn 3.12, 4 Ru 3.12
Sn: 0.7500 0.7500 0.7500  4 Dy 3.12, 4 Gd 3.12
Ru: 0.2500 0.2500 0.2500  4 Dy 3.12, 4 Gd 3.12

## Properties
- V (Å³/cell) = 93.5
- theoretical density (g cm⁻³) = 9.586
- N(E_F) (states/eV per cell) = 2.6
- ΔH_f (0 K) (eV per atom) = -0.40
- total DFT energy (no corrections) (eV per cell) = -33.5
- space group = No. 216

Entry 8:
# MgSc4In2Ag

MgSc4In2Ag after structural relaxation (PBE, Alexandria via LeMat-Bulk).

a b c (Å): 8.6476 8.6476 8.6476
angles (deg): 33.53 33.53 33.53
Closest atoms and distances in Å follow each position.
Element x y z (fractional)
Mg: 0.0000 0.0000 0.0000  8 Sc 3.09-3.14
Sc: 0.1284 0.1284 0.1284  3 Ag 3.03, 4 In 3.07-3.12, 1 Mg 3.14
Sc: 0.3793 0.3793 0.3793  1 Ag 2.95, 4 In 2.99-3.06, 3 Mg 3.09
Sc: 0.6207 0.6207 0.6207  1 Ag 2.95, 4 In 2.99-3.06, 3 Mg 3.09
Sc: 0.8716 0.8716 0.8716  3 Ag 3.03, 4 In 3.07-3.12, 1 Mg 3.14
In: 0.2541 0.2541 0.2541  8 Sc 2.99-3.12
In: 0.7459 0.7459 0.7459  8 Sc 2.99-3.12
Ag: 0.5000 0.5000 0.5000  8 Sc 2.95-3.03

## Properties
- V (Å³/cell) = 175.8
- theoretical density (g cm⁻³) = 5.117
- N(E_F) (states/eV per cell) = 7.1
- ΔH_f (0 K) (eV per atom) = -0.34
- total DFT energy (no corrections) (eV per cell) = -38.0
- space group = No. 166

Entry 9:
# K2RbCdO2

K2RbCdO2 after structural relaxation (PBE, Alexandria via LeMat-Bulk).

a b c (Å): 6.2504 12.1076 4.3171
angles (deg): 90.00 90.00 90.00
Closest atoms and distances in Å follow each position.
Element x y z (fractional)
K: 0.0859 0.2327 0.0000  3 O 2.70-2.78
K: 0.4141 0.7327 0.5000  3 O 2.70-2.78
K: 0.5859 0.2673 0.5000  3 O 2.70-2.78
K: 0.9141 0.7673 0.0000  3 O 2.70-2.78
Rb: 0.0000 0.5000 0.5000  4 O 3.10
Rb: 0.5000 0.0000 0.0000  4 O 3.10
Cd: 0.0000 0.0000 0.5000  2 O 2.11
Cd: 0.5000 0.5000 0.0000  2 O 2.11
O: 0.2374 0.1242 0.5000  1 Cd 2.11
O: 0.2626 0.6242 0.0000  1 Cd 2.11
O: 0.7374 0.3758 0.0000  1 Cd 2.11
O: 0.7626 0.8758 0.5000  1 Cd 2.11

## Properties
- formation energy without anion corrections (eV per atom) = -0.903
- V (Å³/cell) = 326.7
- theoretical density (g cm⁻³) = 3.132
- N(E_F) (states/eV per cell) = 3.7
- total DFT energy (no corrections) (eV per cell) = -38.8
- space group = No. 58

Entry 10:
# Nd2Be3CuPt4

Nd2Be3CuPt4 after structural relaxation (PBE, Alexandria via LeMat-Bulk).

a b c (Å): 4.0644 4.0644 10.0410
angles (deg): 90.00 90.00 90.00
Closest atoms and distances in Å follow each position.
Element x y z (fractional)
Nd: 0.0000 0.5000 0.2487  8 Pt 3.06-3.22, 6 Be 3.16-3.24, 2 Cu 3.24
Nd: 0.5000 0.0000 0.7513  8 Pt 3.06-3.22, 6 Be 3.16-3.24, 2 Cu 3.24
Be: 0.0000 0.5000 0.8829  5 Pt 2.35-2.38
Be: 0.5000 0.0000 0.1171  5 Pt 2.35-2.38
Be: 0.5000 0.5000 0.5000  4 Pt 2.51
Cu: 0.0000 0.0000 0.5000  4 Pt 2.51
Pt: 0.0000 0.0000 0.0000  4 Be 2.35
Pt: 0.0000 0.5000 0.6464  3 Be 2.38-2.51, 2 Cu 2.51
Pt: 0.5000 0.0000 0.3536  3 Be 2.38-2.51, 2 Cu 2.51
Pt: 0.5000 0.5000 0.0000  4 Be 2.35

## Properties
- V (Å³/cell) = 165.9
- theoretical density (g cm⁻³) = 11.607
- N(E_F) (states/eV per cell) = 4.2
- ΔH_f (0 K) (eV per atom) = -0.80
- total DFT energy (no corrections) (eV per cell) = -57.0
- space group = No. 115

Entry 11:
# YCuAs4

YCuAs4 after structural relaxation (PBE, Alexandria via LeMat-Bulk).

a b c (Å): 5.5549 5.5549 5.5549
angles (deg): 60.00 60.00 60.00
Closest atoms and distances in Å follow each position.
Element x y z (fractional)
Y: 0.0000 0.0000 0.0000  12 As 3.26, 4 Cu 3.40
Cu: 0.7500 0.7500 0.7500  12 As 3.25, 4 Y 3.40
As: 0.3772 0.3772 0.3772  6 As 2.73-2.83
As: 0.3772 0.3772 0.8685  6 As 2.73-2.83
As: 0.3772 0.8685 0.3772  6 As 2.73-2.83
As: 0.8685 0.3772 0.3772  6 As 2.73-2.83

## Properties
- V (Å³/cell) = 121.2
- theoretical density (g cm⁻³) = 6.195
- N(E_F) (states/eV per cell) = 3.8
- ΔH_f (0 K) (eV per atom) = 0.01
- total DFT energy (no corrections) (eV per cell) = -29.1
- space group = No. 216

Entry 12:
# Nb8P5

Nb8P5 after structural relaxation (PBE, Alexandria via LeMat-Bulk).

a b c (Å): 3.4423 9.4169 26.6564
angles (deg): 90.00 90.00 90.00
Closest atoms and distances in Å follow each position.
Element x y z (fractional)
Nb: 0.0000 0.0007 0.0413  5 P 2.51-2.71
Nb: 0.0000 0.1628 0.1518  4 P 2.50-2.52
Nb: 0.0000 0.2450 0.7723  3 P 2.77-2.92, 6 Nb 2.97-3.02
Nb: 0.0000 0.2518 0.3265  4 P 2.64-2.72, 4 Nb 2.79-2.83
Nb: 0.0000 0.3368 0.5000  4 P 2.49-2.53
Nb: 0.0000 0.4990 0.6089  5 P 2.52-2.72
Nb: 0.0000 0.5010 0.1089  5 P 2.52-2.72
Nb: 0.0000 0.6632 0.0000  4 P 2.49-2.53
Nb: 0.0000 0.7482 0.8265  4 P 2.64-2.72, 4 Nb 2.79-2.83
Nb: 0.0000 0.7550 0.2723  3 P 2.77-2.92, 6 Nb 2.97-3.02
Nb: 0.0000 0.8372 0.6518  4 P 2.50-2.52
Nb: 0.0000 0.9993 0.5413  5 P 2.51-2.71
Nb: 0.5000 0.0189 0.8203  4 P 2.58
Nb: 0.5000 0.0786 0.7002  5 P 2.52-2.59
Nb: 0.5000 0.0820 0.9478  5 P 2.44-2.56
Nb: 0.5000 0.2467 0.5902  5 P 2.46-2.74
Nb: 0.5000 0.2491 0.4090  5 P 2.50-2.70, 2 Nb 2.79
Nb: 0.5000 0.2540 0.0618  5 P 2.46-2.69
Nb: 0.5000 0.2567 0.2424  5 P 2.50-2.64
Nb: 0.5000 0.4148 0.7041  5 P 2.50-2.57
Nb: 0.5000 0.4252 0.9524  5 P 2.45-2.59
Nb: 0.5000 0.4731 0.8269  4 P 2.54-2.64
Nb: 0.5000 0.5269 0.3269  4 P 2.54-2.64
Nb: 0.5000 0.5748 0.4524  5 P 2.45-2.59
Nb: 0.5000 0.5852 0.2041  5 P 2.50-2.57
Nb: 0.5000 0.7433 0.7424  5 P 2.50-2.64
Nb: 0.5000 0.7460 0.5618  5 P 2.46-2.69
Nb: 0.5000 0.7509 0.9090  5 P 2.50-2.70, 2 Nb 2.79
Nb: 0.5000 0.7533 0.0902  5 P 2.46-2.74
Nb: 0.5000 0.9180 0.4478  5 P 2.44-2.56
Nb: 0.5000 0.9214 0.2002  5 P 2.52-2.59
Nb: 0.5000 0.9811 0.3203  4 P 2.58
P: 0.0000 0.0355 0.3898  7 Nb 2.56-2.70
P: 0.0000 0.0530 0.2527  7 Nb 2.54-2.72
P: 0.0000 0.2449 0.9873  7 Nb 2.54-2.71
P: 0.0000 0.2537 0.6626  7 Nb 2.55-2.72
P: 0.0000 0.4563 0.3975  7 Nb 2.52-2.70
P: 0.0000 0.4624 0.2607  8 Nb 2.54-2.77
P: 0.0000 0.5376 0.7607  8 Nb 2.54-2.77
P: 0.0000 0.5437 0.8975  7 Nb 2.52-2.70
P: 0.0000 0.7463 0.1626  7 Nb 2.55-2.72
P: 0.0000 0.7551 0.4873  7 Nb 2.54-2.71
P: 0.0000 0.9470 0.7527  7 Nb 2.54-2.72
P: 0.0000 0.9645 0.8898  7 Nb 2.56-2.70
P: 0.5000 0.0084 0.1108  7 Nb 2.46-2.66
P: 0.5000 0.1408 0.4945  6 Nb 2.44-2.53
P: 0.5000 0.3574 0.1558  7 Nb 2.50-2.69
P: 0.5000 0.4920 0.5396  7 Nb 2.45-2.67
P: 0.5000 0.5080 0.0396  7 Nb 2.45-2.67
P: 0.5000 0.6426 0.6558  7 Nb 2.50-2.69
P: 0.5000 0.8592 0.9945  6 Nb 2.44-2.53
P: 0.5000 0.9916 0.6108  7 Nb 2.46-2.66

## Properties
- V (Å³/cell) = 864.1
- theoretical density (g cm⁻³) = 6.904
- N(E_F) (states/eV per cell) = 26.9
- ΔH_f (0 K) (eV per atom) = -0.81
- total DFT energy (no corrections) (eV per cell) = -472.4
- space group = No. 26